# 1
# NaAg5Pd4

Crystalline NaAg5Pd4 at its relaxed geometry (GGA-PBE, Alexandria).

```
NaAg5Pd4
1.0
-3.8708 1.3187 -1.9695
-1.7799 -5.9379 -0.4776
-1.0427 -0.2320 7.1237
Na Ag Pd
1 5 4
Direct
0.5000 0.0000 0.0000 Na
0.1740 0.0061 0.3480 Ag
0.1707 0.4844 0.3414 Ag
0.8293 0.5156 0.6586 Ag
0.5000 0.5000 0.0000 Ag
0.8260 0.9939 0.6520 Ag
0.6613 0.7466 0.3226 Pd
0.9919 0.2526 0.9839 Pd
0.3387 0.2534 0.6774 Pd
0.0081 0.7474 0.0161 Pd
```

Results
Theoretical density, g cm⁻³: 8.5
Raw total energy, eV per atom: -3.503
Crystal system: monoclinic
Total magnetic moment, μB/f.u.: 0.0
ΔE_f, meV per atom: 131

# 2
# NaAg2Pd

Crystalline NaAg2Pd at its relaxed geometry (GGA-PBE, Alexandria).

```
NaAg2Pd
1.0
-0.0170 -3.8634 1.0535
3.0568 -0.6931 -2.4923
7.8941 -0.3227 6.5549
Na Pd Ag
2 2 4
Direct
0.5000 0.5000 0.0000 Na
0.2500 0.7500 0.5000 Na
0.0000 0.0000 0.0000 Pd
0.7500 0.2500 0.5000 Pd
0.6345 0.1250 0.2500 Ag
0.1155 0.6250 0.2500 Ag
0.3750 0.3655 0.7500 Ag
0.8750 0.8845 0.7500 Ag
```

Results
Theoretical density, g cm⁻³: 7.2
Raw total energy, eV per atom: -2.882
Crystal system: tetragonal
Total magnetic moment, μB/f.u.: 0.0
ΔE_f, meV per atom: 171

# 3
# NaAg4Pd

Crystalline NaAg4Pd at its relaxed geometry (GGA-PBE, Alexandria).

```
NaAg4Pd
1.0
-0.3103 -3.2170 4.4369
4.4971 -2.5249 1.8794
2.2812 1.6133 4.7249
Na Pd Ag
1 1 4
Direct
0.2500 0.2500 0.2500 Na
0.0000 0.0000 0.0000 Pd
0.6252 0.6252 0.1244 Ag
0.6252 0.1244 0.6252 Ag
0.6252 0.6252 0.6252 Ag
0.1244 0.6252 0.6252 Ag
```

Results
Theoretical density, g cm⁻³: 8.0
Raw total energy, eV per atom: -2.929
Crystal system: cubic
Polymorph energy (0 for the lowest one), meV/atom: 86
Total magnetic moment, μB/f.u.: 0.0
ΔE_f, meV per atom: 57

# 4
# NaAg2Pd2

Crystalline NaAg2Pd2 at its relaxed geometry (GGA-PBE, Alexandria).

```
NaAg2Pd2
1.0
-0.0693 4.3135 6.8162
5.0327 -5.3039 3.4076
2.2567 1.5329 -0.9471
Na Pd Ag
2 4 4
Direct
0.0000 0.0000 0.0000 Na
0.5000 0.5000 0.0000 Na
0.1664 0.6664 0.5000 Pd
0.6664 0.8336 0.5000 Pd
0.8336 0.3336 0.5000 Pd
0.3336 0.1664 0.5000 Pd
0.3711 0.8711 0.0000 Ag
0.8711 0.6289 0.0000 Ag
0.6289 0.1289 0.0000 Ag
0.1289 0.3711 0.0000 Ag
```

Results
Theoretical density, g cm⁻³: 8.0
Raw total energy, eV per atom: -3.511
Crystal system: tetragonal
Polymorph energy (0 for the lowest one), meV/atom: 18
Total magnetic moment, μB/f.u.: 0.0
ΔE_f, meV per atom: -30

# 5
# NaAg2Pd

Crystalline NaAg2Pd at its relaxed geometry (GGA-PBE, Alexandria).

```
NaAg2Pd
1.0
-2.4572 1.1222 -1.3985
-1.7620 -1.0714 2.2361
0.8927 7.0277 4.0707
Na Pd Ag
1 1 2
Direct
0.5000 0.5000 0.5000 Na
0.5000 0.5000 0.0000 Pd
0.0000 0.0000 0.7782 Ag
0.0000 0.0000 0.2218 Ag
```

Results
Theoretical density, g cm⁻³: 7.6
Raw total energy, eV per atom: -3.064
Crystal system: tetragonal
Total magnetic moment, μB/f.u.: 0.0
ΔE_f, meV per atom: -10

# 6
# Na5AgPd

Crystalline Na5AgPd at its relaxed geometry (GGA-PBE, Alexandria).

```
Na5AgPd
1.0
5.9559 -0.9318 -0.8890
1.0059 5.9438 -0.8890
1.5074 1.0852 10.1433
Na Ag Pd
10 2 2
Direct
0.0273 0.6093 0.1830 Na
0.2570 0.4446 0.4988 Na
0.6093 0.0273 0.6830 Na
0.8445 0.1555 0.2500 Na
0.5554 0.7430 0.0012 Na
0.4446 0.2570 0.9988 Na
0.1555 0.8445 0.7500 Na
0.3907 0.9727 0.3170 Na
0.7430 0.5554 0.5012 Na
0.9727 0.3907 0.8170 Na
0.0000 0.0000 0.0000 Ag
0.0000 0.0000 0.5000 Ag
0.5037 0.4963 0.2500 Pd
0.4963 0.5037 0.7500 Pd
```

Results
Theoretical density, g cm⁻³: 2.9
Raw total energy, eV per atom: -2.061
Crystal system: monoclinic
Total magnetic moment, μB/f.u.: 0.0
ΔE_f, meV per atom: 31